NdGa2WO8 (GGA+U, optimized geometry); crystal system = orthorhombic; final energy = -81.7 eV for the cell shown; theoretical density = 6.74 g/cm³; total magnetic moment = 0.36 μB/f.u.
1.0
-1.700 -4.341 -0.594
1.033 -1.097 4.449
-6.015 2.094 1.913
O Ga Nd W
8 2 1 1
Cartesian
-4.274 -0.099 4.936
-5.898 -2.030 1.943
-6.214 0.481 3.054
-2.409 -3.245 0.833
-0.469 -3.826 2.714
-3.449 -2.553 3.511
-3.234 -0.791 2.258
-0.785 -1.314 3.826
-1.727 -2.234 2.371
-4.956 -1.110 3.398
-3.008 1.047 0.957
0.000 0.000 0.000